# 1
A plane-wave DFT calculation with GGA-PBE was carried out for a relaxed structure of Cs3AsF.

```
5
Lattice="-0.846 5.801 0.057 -1.510 -0.276 5.658 5.601 0.801 1.534" Properties=species:S:1:pos:R:3 pbc="T T T"
Cs -0.755 -0.138 2.829
Cs 2.800 0.401 0.767
Cs -0.423 2.900 0.029
As 1.623 3.163 3.625
F 0.000 0.000 0.000
```

The formation energy from raw total energies comes out at -26.6 kcal/mol of atoms. The calculation puts the theoretical density at 4.06 Mg/m³. The relative energy among the computed polymorphs comes out at 0 meV per atom.

# 2
A plane-wave DFT calculation with GGA-PBE was carried out for a relaxed structure of Cs12As3F5.

```
80
Lattice="-5.891 -15.368 -2.326 5.023 6.269 -14.552 12.845 -0.525 10.537" Properties=species:S:1:pos:R:3 pbc="T T T"
As -0.929 -9.241 -5.884
As 0.218 -8.811 -11.632
As 9.587 -1.389 -5.201
As 3.972 -3.255 1.551
As -1.315 -12.795 -1.220
As 4.142 -1.976 -7.333
As 7.836 -7.648 0.992
As 13.293 3.171 -5.121
As 8.005 -6.369 -7.892
As 2.391 -8.235 -1.140
As 11.759 -0.813 5.291
As 12.906 -0.383 -0.457
F 4.359 0.299 -3.114
F 2.512 3.135 -7.276
F 0.000 0.000 0.000
F 0.652 -4.261 -3.193
F 3.477 -7.947 4.106
F -0.434 -4.549 -8.439
F 7.848 2.584 -7.253
F 7.449 -11.202 5.656
F 3.538 -7.805 -6.888
F 8.053 -5.374 5.211
F 3.925 -4.251 -11.552
F 5.989 -4.812 -3.170
F -2.945 -7.684 -1.163
F 6.423 -0.263 5.268
F 8.439 -1.819 0.547
F 4.528 1.578 -11.997
F 8.934 2.872 -2.008
F 4.130 -12.208 0.913
F 11.325 -5.363 -3.148
F 7.619 -9.923 -3.227
Cs -3.195 -10.086 -3.138
Cs 5.948 -1.852 -4.153
Cs -0.050 -12.743 -4.652
Cs -0.500 -6.875 -2.923
Cs 8.823 -4.893 -4.471
Cs -0.449 -11.315 -9.049
Cs 7.456 -0.179 -7.917
Cs 5.617 4.217 -12.278
Cs 10.094 -3.408 -8.398
Cs 1.065 -7.279 -8.242
Cs 2.545 -9.446 -4.754
Cs 0.049 -6.970 -14.789
Cs 9.590 2.264 -4.996
Cs 0.872 -3.311 -5.891
Cs 8.905 4.198 -9.376
Cs 5.807 -5.956 3.523
Cs 3.045 -0.263 -0.626
Cs 1.848 -3.068 -9.966
Cs 3.553 -7.032 -12.151
Cs 2.601 0.684 -5.348
Cs 12.872 -0.120 -6.665
Cs 4.976 -5.469 -6.047
Cs 5.567 -9.026 -8.508
Cs 8.715 -10.679 3.135
Cs 7.001 -4.155 -0.294
Cs 6.411 -0.598 2.167
Cs 3.263 1.055 -9.476
Cs 8.425 -2.593 5.810
Cs -0.895 -9.505 0.324
Cs 9.376 -10.308 -0.993
Cs 10.130 -6.556 3.625
Cs 6.170 -3.668 -9.864
Cs 8.933 -9.361 -5.715
Cs 3.072 -13.823 3.035
Cs 2.388 -11.888 -1.344
Cs 11.929 -2.654 8.448
Cs 11.106 -6.314 -0.450
Cs 1.883 -6.216 2.057
Cs 10.913 -2.346 1.901
Cs 9.432 -0.179 -1.587
Cs 6.361 -13.842 5.937
Cs 4.522 -9.445 1.576
Cs 12.478 -2.750 -3.418
Cs 12.427 1.691 2.708
Cs 3.154 -4.732 -1.870
Cs 12.028 3.118 -1.689
Cs 6.030 -7.773 -2.188
Cs 15.172 0.461 -3.203
```

The formation energy from raw total energies comes out at -32.6 kcal/mol of atoms. The calculation puts the theoretical density at 3.60 Mg/m³.

# 3
A plane-wave DFT calculation with GGA-PBE was carried out for a relaxed structure of Cs3As2F9.

```
14
Lattice="6.694 0.000 0.000 -3.347 5.797 0.000 0.000 0.000 7.890" Properties=species:S:1:pos:R:3 pbc="T T T"
Cs 3.347 1.932 5.253
Cs 0.000 0.000 0.000
Cs 0.000 3.865 2.637
As 3.347 1.932 1.250
As 0.000 3.865 6.640
F -1.327 4.631 5.520
F 0.000 2.332 5.520
F 1.673 2.899 0.000
F 3.347 3.465 2.370
F 2.020 1.166 2.370
F 1.327 4.631 5.520
F 4.674 1.166 2.370
F -1.673 2.899 0.000
F 3.347 0.000 0.000
```

The formation energy from raw total energies comes out at -57.3 kcal/mol of atoms. The calculation puts the theoretical density at 3.90 Mg/m³.

# 4
A plane-wave DFT calculation with GGA-PBE was carried out for a relaxed structure of Cs2AsF.

```
8
Lattice="-2.722 0.979 7.138 -5.799 2.171 -4.580 2.144 -7.282 -1.304" Properties=species:S:1:pos:R:3 pbc="T T T"
Cs -3.639 -4.578 -2.131
Cs -4.870 1.233 4.025
Cs -0.043 -3.786 0.167
Cs -4.205 -1.133 0.448
As 0.000 0.000 0.000
As -2.420 -2.364 3.557
F -4.261 1.575 1.279
F -3.958 -1.768 -2.302
```

The formation energy from raw total energies comes out at -25.2 kcal/mol of atoms. The calculation puts the theoretical density at 3.42 Mg/m³. The relative energy among the computed polymorphs comes out at 0 meV per atom.

# 5
A plane-wave DFT calculation with GGA-PBE was carried out for a relaxed structure of CsAsF2.

```
4
Lattice="6.023 0.001 0.001 4.613 3.872 0.001 4.613 1.680 3.489" Properties=species:S:1:pos:R:3 pbc="T T T"
Cs 0.000 0.000 0.000
As 7.624 2.777 1.745
F 12.350 4.498 2.827
F 2.899 1.056 0.664
```

The formation energy from raw total energies comes out at -32.5 kcal/mol of atoms. The calculation puts the theoretical density at 5.02 Mg/m³. The relative energy among the computed polymorphs comes out at 251 meV per atom.

# 6
A plane-wave DFT calculation with GGA-PBE was carried out for a relaxed structure of CsAsF5.

```
14
Lattice="5.910 0.849 1.410 0.885 5.909 1.400 1.143 1.113 8.927" Properties=species:S:1:pos:R:3 pbc="T T T"
Cs 4.028 3.976 8.398
Cs 3.910 3.895 3.340
As 0.000 0.000 0.000
As 0.571 0.556 4.464
F 3.926 6.927 9.900
F 5.177 2.617 5.860
F 1.770 1.848 4.514
F 7.325 7.292 9.065
F 6.976 3.861 9.913
F 0.962 4.010 1.824
F 0.613 0.579 2.672
F 6.167 6.023 7.223
F 2.761 5.254 5.878
F 4.012 0.944 1.837
```

The formation energy from raw total energies comes out at -54.0 kcal/mol of atoms. The calculation puts the theoretical density at 3.48 Mg/m³.

Number 1: size of the total moment 1.000 μB per cell. Number 2: size of the total moment 8.509 μB per cell. Number 3: size of the total moment 0.000 μB per cell. Number 4: size of the total moment 4.000 μB per cell. Number 5: size of the total moment 0.000 μB per cell. Number 6: size of the total moment 0.000 μB per cell.